Entry 1:
Material: SrErBO4
Method: DFT, PBE
State: optimized geometry

a b c (Å): 5.0491 5.2588 6.7712
angles (deg): 90.00 107.96 90.00
With the nearest neighbours (Å) after each atom.
Atoms (fractional coordinates):
Sr  0.2037  0.2500  0.4250  8 O 2.59-2.73
Sr  0.7963  0.7500  0.5750  8 O 2.59-2.73
Er  0.2835  0.2500  0.9599  6 O 2.24-2.37
Er  0.7165  0.7500  0.0401  6 O 2.24-2.37
B  0.2803  0.7500  0.1895  4 O 1.50-1.52
B  0.7197  0.2500  0.8105  4 O 1.50-1.52
O  0.0927  0.7500  0.3232  1 B 1.50
O  0.1178  0.7500  0.9603  1 B 1.52
O  0.4689  0.5232  0.2288  1 B 1.50
O  0.4689  0.9768  0.2288  1 B 1.50
O  0.5311  0.0232  0.7712  1 B 1.50
O  0.5311  0.4768  0.7712  1 B 1.50
O  0.8822  0.2500  0.0397  1 B 1.52
O  0.9073  0.2500  0.6768  1 B 1.50

Computed properties:
Total DFT energy (no corrections)   -0.2840 Ha/atom
Spin magnetization   0.000 μB/atom
D(E_F)   0.0 states/eV/f.u.
E_form (uncorrected)   -3.050 eV per atom
Crystal system   monoclinic

***

Entry 2:
Material: ErThB2O8
Method: DFT, PBE
State: optimized geometry

a b c (Å): 6.6121 6.6121 6.6121
angles (deg): 138.25 138.25 60.53
With the nearest neighbours (Å) after each atom.
Atoms (fractional coordinates):
Er  0.0000  0.0000  0.0000  8 O 2.32-2.42
Th  0.7500  0.2500  0.5000  8 O 2.39-2.47
B  0.2500  0.7500  0.5000  4 O 1.48
B  0.5000  0.5000  0.0000  4 O 1.48
O  0.0758  0.7238  0.1581  1 B 1.48
O  0.0823  0.9242  0.6480  1 B 1.48
O  0.1891  0.3204  0.6441  1 B 1.48
O  0.2762  0.4342  0.3520  1 B 1.48
O  0.4550  0.8109  0.1313  1 B 1.48
O  0.5658  0.9177  0.8419  1 B 1.48
O  0.6763  0.5450  0.3559  1 B 1.48
O  0.6796  0.3237  0.8687  1 B 1.48

Computed properties:
Total DFT energy (no corrections)   -0.2902 Ha/atom
Spin magnetization   0.253 μB/atom
D(E_F)   4.4 states/eV/f.u.
E_form (uncorrected)   -2.479 eV per atom
Crystal system   tetragonal

***

Entry 3:
Material: ErTiBO5
Method: DFT, PBE
State: optimized geometry

a b c (Å): 5.2435 5.2435 6.8259
angles (deg): 103.20 103.20 106.53
With the nearest neighbours (Å) after each atom.
Atoms (fractional coordinates):
Er  0.1583  0.8417  0.7500  5 O 2.17-2.34
Er  0.8417  0.1583  0.2500  5 O 2.17-2.34
Ti  0.5000  0.5000  0.0000  6 O 1.85-2.04
Ti  0.5000  0.5000  0.5000  6 O 1.85-2.04
B  0.1802  0.8198  0.2500  4 O 1.50-1.52
B  0.8198  0.1802  0.7500  4 O 1.50-1.52
O  0.1007  0.2405  0.9091  1 B 1.52
O  0.1745  0.6132  0.3713  1 B 1.50
O  0.2405  0.1007  0.4091  1 B 1.52
O  0.3868  0.8255  0.1287  1 B 1.50
O  0.4160  0.5840  0.7500  2 Ti 1.85
O  0.5840  0.4160  0.2500  2 Ti 1.85
O  0.6132  0.1745  0.8713  1 B 1.50
O  0.7595  0.8993  0.5909  1 B 1.52
O  0.8255  0.3868  0.6287  1 B 1.50
O  0.8993  0.7595  0.0909  1 B 1.52

Computed properties:
Total DFT energy (no corrections)   -0.3125 Ha/atom
Spin magnetization   0.000 μB/atom
D(E_F)   0.0 states/eV/f.u.
E_form (uncorrected)   -3.012 eV per atom
Crystal system   monoclinic

***

Entry 4:
Material: ErTl2B2O6
Method: DFT, PBE
State: optimized geometry

a b c (Å): 5.4667 5.4667 6.7993
angles (deg): 113.89 113.89 59.97
With the nearest neighbours (Å) after each atom.
Atoms (fractional coordinates):
Er  0.0000  0.0000  0.0000  6 O 2.24
Tl  0.2147  0.2147  0.6457  9 O 2.83-3.10
Tl  0.7853  0.7853  0.3543  9 O 2.83-3.10
B  0.4107  0.4107  0.2288  3 O 1.39
B  0.5893  0.5893  0.7712  3 O 1.39
O  0.2634  0.2634  0.2260  1 B 1.39
O  0.2643  0.7037  0.2287  1 B 1.39
O  0.2963  0.7357  0.7713  1 B 1.39
O  0.7037  0.2643  0.2287  1 B 1.39
O  0.7357  0.2963  0.7713  1 B 1.39
O  0.7366  0.7366  0.7740  1 B 1.39

Computed properties:
Total DFT energy (no corrections)   -0.2531 Ha/atom
Spin magnetization   0.000 μB/atom
D(E_F)   5.3 states/eV/f.u.
E_form (uncorrected)   -2.125 eV per atom
Crystal system   monoclinic

***

Entry 5:
Material: ErTl3B2O6
Method: DFT, PBE
State: optimized geometry

a b c (Å): 5.4922 5.4922 7.4950
angles (deg): 90.00 90.00 120.00
With the nearest neighbours (Å) after each atom.
Atoms (fractional coordinates):
Er  0.0000  0.0000  0.0000  6 O 2.24
Tl  0.0000  0.0000  0.5000  6 O 2.98
Tl  0.3333  0.6667  0.2873  6 O 2.86
Tl  0.6667  0.3333  0.7127  6 O 2.86
B  0.3333  0.6667  0.8191  3 O 1.39
B  0.6667  0.3333  0.1809  3 O 1.39
O  0.1872  0.3745  0.8182  1 B 1.39
O  0.1872  0.8128  0.8182  1 B 1.39
O  0.3745  0.1872  0.1818  1 B 1.39
O  0.6255  0.8128  0.8182  1 B 1.39
O  0.8128  0.1872  0.1818  1 B 1.39
O  0.8128  0.6255  0.1818  1 B 1.39

Computed properties:
Total DFT energy (no corrections)   -0.2435 Ha/atom
Spin magnetization   0.000 μB/atom
D(E_F)   0.0 states/eV/f.u.
E_form (uncorrected)   -2.063 eV per atom
Crystal system   trigonal

***

Entry 6:
Material: ErZn2B2O6
Method: DFT, PBE
State: optimized geometry

a b c (Å): 4.9907 4.9907 7.0517
angles (deg): 90.00 90.00 120.00
With the nearest neighbours (Å) after each atom.
Atoms (fractional coordinates):
Er  0.0000  0.0000  0.0000  6 O 2.27
Zn  0.3333  0.6667  0.3064  3 O 2.00
Zn  0.6667  0.3333  0.6936  3 O 2.00
B  0.3333  0.6667  0.7996  3 O 1.39
B  0.6667  0.3333  0.2004  3 O 1.39
O  0.0589  0.6731  0.8042  1 B 1.39
O  0.3269  0.3858  0.8042  1 B 1.39
O  0.3858  0.0589  0.1958  1 B 1.39
O  0.6142  0.9411  0.8042  1 B 1.39
O  0.6731  0.6142  0.1958  1 B 1.39
O  0.9411  0.3269  0.1958  1 B 1.39

Computed properties:
Total DFT energy (no corrections)   -0.2484 Ha/atom
Spin magnetization   0.028 μB/atom
D(E_F)   2.0 states/eV/f.u.
E_form (uncorrected)   -2.193 eV per atom
Crystal system   trigonal